Below is a geometry-optimized UFeO4 structure, with properties calculated at the GGA+U level.

## Properties
As for the theoretical density: 7.53 Mg/m³. The calculation puts the total energy at -8.66 eV per atom. The calculation puts the total magnetic moment at 4.0 μB/f.u.

Cell: 4.9080 5.3003 12.1274 Å, 90.00 90.00 90.00°
Last column: magnetic moment on the atom in μB.
Element x y z (fractional)
O1 0.2191 0.9058 0.6963  0.02
O2 0.2809 0.9058 0.1963  0.02
O3 0.2191 0.4058 0.3037  0.02
O4 0.2504 0.9068 0.4352  0.02
Fe1 0.0000 0.7500 0.5583  3.75
O5 0.2496 0.4068 0.0648  0.02
U1 0.0000 0.7500 0.8246  0.13
O6 0.2809 0.4058 0.8037  0.02
Fe2 0.5000 0.7500 0.0583  3.75
O7 0.7809 0.5942 0.6963  0.02
O8 0.7504 0.5932 0.9352  0.02
O9 0.7496 0.0932 0.5648  0.02
O10 0.7191 0.5942 0.1963  0.02
O11 0.2496 0.9068 0.9352  0.02
O12 0.7504 0.0932 0.0648  0.02
U2 0.5000 0.2500 0.6754  0.13
O13 0.7809 0.0942 0.3037  0.02
U3 0.5000 0.7500 0.3246  0.13
U4 0.0000 0.2500 0.1754  0.13
Fe3 0.0000 0.2500 0.4417  3.75
O14 0.7191 0.0942 0.8037  0.02
O15 0.2504 0.4068 0.5648  0.02
Fe4 0.5000 0.2500 0.9417  3.75
O16 0.7496 0.5932 0.4352  0.02